Density functional theory data (PBE) for an optimized crystal structure of Lu2NiSn2Pt3.

The uncorrected energy comes out at -48.1 eV for the cell shown.

The space group is P3m1 (No. 156) and the conventional cell measures 4.4910, 4.4910 and 8.8678 Å, with angles of 90.00, 90.00 and 120.00 degrees. The inequivalent atoms are Lu at (0.0000, 0.0000, 0.0000), Lu at (0.3333, 0.6667, 0.4949), Ni at (0.3333, 0.6667, 0.1644), Sn at (0.6667, 0.3333, 0.2371), Sn at (0.6667, 0.3333, 0.7513), Pt at (0.0000, 0.0000, 0.3311), Pt at (0.0000, 0.0000, 0.6556) and Pt at (0.3333, 0.6667, 0.8526).

---

Density functional theory data (PBE) for an optimized crystal structure of LiDyRe.

The uncorrected energy comes out at -64.0 eV for the cell shown.

The space group is F-43m (No. 216) and the conventional cell measures 6.134, 6.134 and 6.134 Å, with angles of 90.00, 90.00 and 90.00 degrees. The inequivalent atoms are Li at (0.000, 0.000, 0.000), Dy at (0.250, 0.250, 0.750) and Re at (0.250, 0.250, 0.250).

---

Density functional theory data (PBE) for an optimized crystal structure of TcB4Pt.

The value obtained for the relative energy among the computed polymorphs is 29 meV/atom. The uncorrected energy comes out at -82.8 eV for the cell shown.

The space group is Immm (No. 71) and the conventional cell measures 3.053, 5.157 and 7.005 Å, with angles of 90.00, 90.00 and 90.00 degrees. The inequivalent atoms are Tc at (0.000, 0.000, 0.000), B at (0.000, 0.327, 0.263) and Pt at (0.000, 0.000, 0.500).

---

Density functional theory data (PBE) for an optimized crystal structure of Ho3Al3CuSiNi.

The uncorrected energy comes out at -45.4 eV for the cell shown.

The space group is P-6 (No. 174) and the conventional cell measures 6.8844, 6.8844 and 4.0886 Å, with angles of 90.00, 90.00 and 120.00 degrees. The inequivalent atoms are Ho at (0.0791, 0.3363, 0.0000), Al at (0.4354, 0.3407, 0.5000), Cu at (0.3333, 0.6667, 0.5000), Si at (0.0000, 0.0000, 0.5000) and Ni at (0.6667, 0.3333, 0.0000).